# Ba6HAu2N

A relaxed structure of Ba6HAu2N (PBE, Alexandria).

Total energy in eV for the cell shown: -69.284

Unit cell a=7.634 b=8.253 c=10.952 alpha=90.00 beta=89.56 gamma=90.00
Element x y z (fractional)
1 H 0.500 0.000 0.000
2 H 0.000 0.500 0.500
3 Au 0.963 0.088 0.749
4 Au 0.463 0.412 0.249
5 Au 0.537 0.588 0.751
6 Au 0.037 0.912 0.251
7 Ba 0.899 0.526 0.240
8 Ba 0.821 0.795 0.949
9 Ba 0.798 0.820 0.551
10 Ba 0.179 0.205 0.051
11 Ba 0.101 0.474 0.760
12 Ba 0.702 0.320 0.949
13 Ba 0.399 0.974 0.740
14 Ba 0.321 0.705 0.449
15 Ba 0.298 0.680 0.051
16 Ba 0.679 0.295 0.551
17 Ba 0.202 0.180 0.449
18 Ba 0.601 0.026 0.260
19 N 0.000 0.500 0.000
20 N 0.500 0.000 0.500

---

# Ba5HAu2N

A relaxed structure of Ba5HAu2N (PBE, Alexandria).

Total energy in eV for the cell shown: -64.451

Unit cell a=4.371 b=9.888 c=14.430 alpha=90.00 beta=90.00 gamma=102.77
Element x y z (fractional)
1 Au 0.872 0.744 0.821
2 Au 0.127 0.255 0.708
3 Au 0.873 0.745 0.208
4 Au 0.128 0.256 0.321
5 Ba 0.654 0.308 0.516
6 Ba 0.702 0.403 0.877
7 Ba 0.298 0.597 0.377
8 Ba 0.498 0.995 0.279
9 Ba 0.346 0.692 0.016
10 Ba 0.295 0.591 0.648
11 Ba 0.069 0.137 0.021
12 Ba 0.931 0.863 0.521
13 Ba 0.705 0.409 0.148
14 Ba 0.502 0.005 0.779
15 H 0.428 0.857 0.434
16 H 0.572 0.143 0.934
17 N 0.206 0.412 0.021
18 N 0.794 0.588 0.521

---

# BaNaHAu2

A relaxed structure of BaNaHAu2 (PBE, Alexandria).

Total energy in eV for the cell shown: -13.126

Unit cell a=6.277 b=4.816 c=6.277 alpha=90.00 beta=90.00 gamma=90.00
Element x y z (fractional)
1 Au 0.500 0.000 0.000
2 Au 0.000 0.000 0.500
3 Ba 0.000 0.000 0.000
4 Na 0.500 0.500 0.500
5 H 0.000 0.500 0.000

---

# Ba3NaHAu

A relaxed structure of Ba3NaHAu (PBE, Alexandria).

Total energy in eV for the cell shown: -31.517

Unit cell a=4.784 b=10.623 c=10.639 alpha=105.00 beta=90.00 gamma=90.00
Element x y z (fractional)
1 H 0.750 0.922 0.403
2 H 0.250 0.078 0.597
3 Ba 0.250 0.120 0.859
4 Ba 0.750 0.169 0.542
5 Ba 0.250 0.536 0.831
6 Ba 0.750 0.880 0.141
7 Ba 0.750 0.464 0.169
8 Ba 0.250 0.831 0.458
9 Au 0.250 0.669 0.147
10 Au 0.750 0.331 0.853
11 Na 0.750 0.806 0.745
12 Na 0.250 0.194 0.255

---

# BaNa2HAu

A relaxed structure of BaNa2HAu (PBE, Alexandria).

Total energy in eV for the cell shown: -12.600

Unit cell a=4.705 b=4.705 c=5.625 alpha=90.00 beta=90.00 gamma=90.00
Element x y z (fractional)
1 Na 0.000 0.500 0.000
2 Na 0.500 0.000 0.000
3 H 0.000 0.000 0.000
4 Au 0.500 0.500 0.500
5 Ba 0.000 0.000 0.500

---

# Ba2NiH4Au2

A relaxed structure of Ba2NiH4Au2 (PBE, Alexandria).

Total energy in eV for the cell shown: -32.874

Unit cell a=6.008 b=6.008 c=6.008 alpha=95.55 beta=116.85 gamma=116.85
Element x y z (fractional)
1 H 0.648 0.824 0.824
2 H 0.000 0.824 0.176
3 H 0.352 0.176 0.176
4 H 0.000 0.176 0.824
5 Au 0.000 0.667 0.667
6 Au 0.000 0.333 0.333
7 Ba 0.500 0.750 0.250
8 Ba 0.500 0.250 0.750
9 Ni 0.000 0.000 0.000

---

- Number 6 is which compound?
  Ba2NiH4Au2